# GGA-PBE PmPuSi, relaxed
data_PmPuSi
_space_group_name_H-M_alt 'P 1'
_space_group_IT_number 1
_space_group_name_Hall 'P 1'
_cell_length_a 3.376
_cell_length_b 21.140
_cell_length_c 3.674
_cell_angle_alpha 90.00
_cell_angle_beta 90.00
_cell_angle_gamma 90.00
loop_
_atom_site_label
_atom_site_type_symbol
_atom_site_fract_x
_atom_site_fract_y
_atom_site_fract_z
Pm1 Pm 0.000 0.104 0.250
Pm2 Pm 0.000 0.896 0.750
Pm3 Pm 0.500 0.396 0.750
Pm4 Pm 0.500 0.604 0.250
Pu1 Pu 0.000 0.257 0.750
Pu2 Pu 0.000 0.743 0.250
Pu3 Pu 0.500 0.243 0.250
Pu4 Pu 0.500 0.757 0.750
Si1 Si 0.000 0.468 0.250
Si2 Si 0.000 0.532 0.750
Si3 Si 0.500 0.032 0.750
Si4 Si 0.500 0.968 0.250
# Raw formation energy   0.12 eV/atom
# N(E_F)   16.831 states/eV per cell
# E_tot   -8.046 eV/atom
# Total magnetic moment   0.000 μB per atom
# Energy above the lowest structure with this stoichiometry   0.576 eV/atom